--- i ---
Here is a crystal of CaY2Cu relaxed with PBEsol from the Alexandria database. Energies are from SCAN.

- Symmetry: P4/mmm (123)
- V: 110.7 Å³ per cell

Lattice parameters (Å, degrees): 3.487 3.487 9.100 90.00 90.00 90.00
Sites, in units of the cell vectors:
Y  0.000  0.000  0.322
Y  0.000  0.000  0.678
Cu  0.500  0.500  0.500
Ca  0.500  0.500  0.000

***

--- ii ---
Here is a crystal of CaY2Cu relaxed with PBEsol from the Alexandria database. Energies are from SCAN.

- Symmetry: Fm-3m (225)
- V: 101.2 Å³ per cell

Lattice parameters (Å, degrees): 5.230 5.230 5.230 60.00 60.00 60.00
Sites, in units of the cell vectors:
Y  0.250  0.250  0.250
Y  0.750  0.750  0.750
Ca  0.000  0.000  0.000
Cu  0.500  0.500  0.500

***

Of them, i has the highest stability.

***

--- i ---
Here is a crystal of CaEr2S4 relaxed with PBEsol from the Alexandria database. Energies are from SCAN.

- Symmetry: Pnma (62)
- V: 626.5 Å³ per cell

Lattice parameters (Å, degrees): 3.825 12.714 12.883 90.00 90.00 90.00
Sites, in units of the cell vectors:
Ca  0.250  0.868  0.082
Ca  0.750  0.632  0.582
Ca  0.750  0.132  0.918
Ca  0.250  0.368  0.418
S  0.250  0.259  0.026
S  0.250  0.718  0.736
S  0.250  0.036  0.383
S  0.250  0.971  0.882
S  0.250  0.536  0.117
S  0.750  0.241  0.526
S  0.750  0.529  0.382
S  0.250  0.471  0.618
S  0.250  0.218  0.764
S  0.750  0.964  0.617
S  0.750  0.464  0.883
S  0.750  0.029  0.118
S  0.750  0.741  0.974
S  0.750  0.282  0.264
S  0.250  0.759  0.474
S  0.750  0.782  0.236
Er  0.250  0.106  0.585
Er  0.750  0.394  0.085
Er  0.750  0.853  0.798
Er  0.750  0.353  0.702
Er  0.250  0.647  0.298
Er  0.250  0.147  0.202
Er  0.750  0.894  0.415
Er  0.250  0.606  0.915

***

--- ii ---
Here is a crystal of CaEr2S4 relaxed with PBEsol from the Alexandria database. Energies are from SCAN.

- Symmetry: Cmc2_1 (36)
- V: 314.3 Å³ per cell

Lattice parameters (Å, degrees): 3.825 6.598 13.011 90.00 90.00 106.85
Sites, in units of the cell vectors:
Er  0.372  0.744  0.182
Er  0.641  0.281  0.323
Er  0.359  0.719  0.823
Er  0.628  0.256  0.682
Ca  0.113  0.226  0.013
Ca  0.887  0.774  0.513
S  0.990  0.980  0.744
S  0.010  0.020  0.244
S  0.266  0.532  0.635
S  0.542  0.084  0.499
S  0.722  0.443  0.871
S  0.458  0.916  0.999
S  0.278  0.557  0.371
S  0.734  0.468  0.135

***

Of them, i has the highest stability.